1.
First-principles (PBE) data for a geometry-optimized AlHg2 structure, as listed in OQMD via LeMat-Bulk.

a = 8.435 Å, b = 8.435 Å, c = 8.435 Å
α = 90.00°, β = 90.00°, γ = 90.00°
Space group Fd-3m (No. 227, origin choice 2)
Asymmetric unit:
1 Al 0.125 0.125 0.125 [8 per cell]
2 Hg 0.000 0.000 0.500 [16 per cell]

VASP energy: -25.20 eV for the cell shown

=====

2.
First-principles (PBE) data for a geometry-optimized Ho2Al3Hg3 structure, as listed in OQMD via LeMat-Bulk.

a = 4.853 Å, b = 6.415 Å, c = 11.028 Å
α = 90.00°, β = 90.00°, γ = 90.00°
Space group Amm2 (No. 38)
Asymmetric unit:
1 Ho 0.000 0.000 0.000 [2 per cell]
2 Ho 0.500 0.000 0.340 [2 per cell]
3 Al 0.000 0.000 0.515 [2 per cell]
4 Al 0.500 0.223 0.589 [4 per cell]
5 Hg 0.000 0.248 0.241 [4 per cell]
6 Hg 0.500 0.000 0.835 [2 per cell]

VASP energy: -47.51 eV for the cell shown
Spin magnetization: 0.00 μB per atom

=====

3.
First-principles (PBE) data for a geometry-optimized Ho2AlHg5 structure, as listed in OQMD via LeMat-Bulk.

a = 4.909 Å, b = 6.574 Å, c = 11.304 Å
α = 90.00°, β = 90.00°, γ = 90.00°
Space group Amm2 (No. 38)
Asymmetric unit:
1 Ho 0.000 0.000 0.000 [2 per cell]
2 Ho 0.500 0.000 0.332 [2 per cell]
3 Al 0.000 0.000 0.514 [2 per cell]
4 Hg 0.000 0.247 0.250 [4 per cell]
5 Hg 0.500 0.000 0.830 [2 per cell]
6 Hg 0.500 0.241 0.576 [4 per cell]

VASP energy: -33.72 eV for the cell shown
Spin magnetization: 0.00 μB per atom

=====

4.
First-principles (PBE) data for a geometry-optimized Ho2Al5Hg structure, as listed in OQMD via LeMat-Bulk.

a = 4.679 Å, b = 6.412 Å, c = 10.727 Å
α = 90.00°, β = 90.00°, γ = 90.00°
Space group Amm2 (No. 38)
Asymmetric unit:
1 Ho 0.000 0.000 0.000 [2 per cell]
2 Ho 0.500 0.000 0.319 [2 per cell]
3 Al 0.000 0.000 0.504 [2 per cell]
4 Al 0.000 0.219 0.729 [4 per cell]
5 Al 0.500 0.220 0.580 [4 per cell]
6 Hg 0.500 0.000 0.822 [2 per cell]

VASP energy: -62.26 eV for the cell shown
Spin magnetization: 0.00 μB per atom

=====

5.
First-principles (PBE) data for a geometry-optimized Ho2Al3Hg3 structure, as listed in OQMD via LeMat-Bulk.

a = 4.277 Å, b = 3.390 Å, c = 13.403 Å
α = 90.00°, β = 96.44°, γ = 90.00°
Space group P2/m (No. 10)
Asymmetric unit:
1 Ho 0.209 0.000 0.392 [2 per cell]
2 Al 0.000 0.500 0.000 [1 per cell]
3 Al 0.107 0.000 0.166 [2 per cell]
4 Hg 0.337 0.500 0.723 [2 per cell]
5 Hg 0.500 0.000 0.000 [1 per cell]

VASP energy: -20.73 eV for the cell shown
Spin magnetization: 0.08 μB per atom

=====

6.
First-principles (PBE) data for a geometry-optimized Ho2Al3Hg3 structure, as listed in OQMD via LeMat-Bulk.

a = 6.4957 Å, b = 6.4957 Å, c = 4.7299 Å
α = 90.00°, β = 90.00°, γ = 120.00°
Space group P-6m2 (No. 187)
Asymmetric unit:
1 Ho 0.0000 0.0000 0.0000 [1 per cell]
2 Ho 0.3333 0.6667 0.5000 [1 per cell]
3 Al 0.3713 0.1857 0.5000 [3 per cell]
4 Hg 0.5045 0.0090 0.0000 [3 per cell]

VASP energy: -23.77 eV for the cell shown
Spin magnetization: 0.00 μB per atom

=====

7.
First-principles (PBE) data for a geometry-optimized Ho2Al3Hg3 structure, as listed in OQMD via LeMat-Bulk.

a = 6.357 Å, b = 4.823 Å, c = 6.401 Å
α = 90.00°, β = 118.82°, γ = 90.00°
Space group Pm (No. 6)
Asymmetric unit:
1 Ho 0.000 0.000 0.000 [1 per cell]
2 Ho 0.327 0.500 0.681 [1 per cell]
3 Al 0.359 0.500 0.181 [1 per cell]
4 Al 0.506 0.000 0.035 [1 per cell]
5 Al 0.958 0.000 0.481 [1 per cell]
6 Hg 0.477 0.000 0.490 [1 per cell]
7 Hg 0.829 0.500 0.170 [1 per cell]
8 Hg 0.832 0.500 0.662 [1 per cell]

VASP energy: -23.69 eV for the cell shown
Spin magnetization: 0.00 μB per atom

=====

8.
First-principles (PBE) data for a geometry-optimized Ho3Mg3AlHg2 structure, as listed in OQMD via LeMat-Bulk.

a = 7.7585 Å, b = 7.7585 Å, c = 4.1601 Å
α = 90.00°, β = 90.00°, γ = 120.00°
Space group P-62m (No. 189)
Asymmetric unit:
1 Ho 0.0000 0.5903 0.0000 [3 per cell]
2 Mg 0.0000 0.2468 0.5000 [3 per cell]
3 Al 0.0000 0.0000 0.0000 [1 per cell]
4 Hg 0.3333 0.6667 0.5000 [2 per cell]

VASP energy: -25.84 eV for the cell shown
Spin magnetization: 0.00 μB per atom

=====

9.
First-principles (PBE) data for a geometry-optimized HoTm2Mg3Al2Hg structure, as listed in OQMD via LeMat-Bulk.

a = 4.497 Å, b = 12.749 Å, c = 7.324 Å
α = 90.00°, β = 90.00°, γ = 90.00°
Space group Amm2 (No. 38)
Asymmetric unit:
1 Ho 0.000 0.000 0.000 [2 per cell]
2 Tm 0.000 0.213 0.639 [4 per cell]
3 Mg 0.500 0.000 0.672 [2 per cell]
4 Mg 0.500 0.122 0.304 [4 per cell]
5 Al 0.500 0.167 0.926 [4 per cell]
6 Hg 0.000 0.000 0.429 [2 per cell]

VASP energy: -58.17 eV for the cell shown
Spin magnetization: 0.00 μB per atom

=====

10.
First-principles (PBE) data for a geometry-optimized Ho2TmMg3Al2Hg structure, as listed in OQMD via LeMat-Bulk.

a = 4.504 Å, b = 12.715 Å, c = 7.379 Å
α = 90.00°, β = 90.00°, γ = 90.00°
Space group Amm2 (No. 38)
Asymmetric unit:
1 Ho 0.000 0.213 0.000 [4 per cell]
2 Tm 0.000 0.000 0.639 [2 per cell]
3 Mg 0.500 0.000 0.969 [2 per cell]
4 Mg 0.500 0.122 0.336 [4 per cell]
5 Al 0.500 0.166 0.713 [4 per cell]
6 Hg 0.000 0.000 0.215 [2 per cell]

VASP energy: -58.49 eV for the cell shown
Spin magnetization: 0.00 μB per atom

=====

11.
First-principles (PBE) data for a geometry-optimized YHo2Mg3Al2Hg structure, as listed in OQMD via LeMat-Bulk.

a = 4.505 Å, b = 12.818 Å, c = 7.385 Å
α = 90.00°, β = 90.00°, γ = 90.00°
Space group Amm2 (No. 38)
Asymmetric unit:
1 Y 0.000 0.000 0.000 [2 per cell]
2 Ho 0.000 0.213 0.639 [4 per cell]
3 Mg 0.500 0.000 0.671 [2 per cell]
4 Mg 0.500 0.122 0.305 [4 per cell]
5 Al 0.500 0.167 0.926 [4 per cell]
6 Hg 0.000 0.000 0.428 [2 per cell]

VASP energy: -62.75 eV for the cell shown
Spin magnetization: 0.00 μB per atom

=====

12.
First-principles (PBE) data for a geometry-optimized Y2HoMg3Al2Hg structure, as listed in OQMD via LeMat-Bulk.

a = 4.506 Å, b = 12.815 Å, c = 7.415 Å
α = 90.00°, β = 90.00°, γ = 90.00°
Space group Amm2 (No. 38)
Asymmetric unit:
1 Y 0.000 0.213 0.000 [4 per cell]
2 Ho 0.000 0.000 0.361 [2 per cell]
3 Mg 0.500 0.000 0.031 [2 per cell]
4 Mg 0.500 0.122 0.664 [4 per cell]
5 Al 0.500 0.166 0.287 [4 per cell]
6 Hg 0.000 0.000 0.785 [2 per cell]

VASP energy: -66.71 eV for the cell shown
Spin magnetization: 0.00 μB per atom

=====

- Look up the VASP energy of the tenth one.
  -58.49 eV for the cell shown